A relaxed structure of LiAc3Co2O9. Source: Alexandria, functional GGA+U.

abc: 5.5185 5.5185 6.7829
angles: 90.00 90.00 120.00
Last column: nearest neighbours and their distance in Å.
Element x y z (fractional)
Li 0.0000 0.0000 0.0000  6 O 2.05
Ac 0.0000 0.0000 0.5000  12 O 2.76
Ac 0.3333 0.6667 0.1649  12 O 2.76-2.78
Ac 0.6667 0.3333 0.8351  12 O 2.76-2.78
Co 0.3333 0.6667 0.6713  6 O 1.84-1.97
Co 0.6667 0.3333 0.3287  6 O 1.84-1.97
O 0.0000 0.5000 0.5000  2 Co 1.97
O 0.1747 0.3494 0.8239  1 Co 1.84, 1 Li 2.05
O 0.1747 0.8253 0.8239  1 Co 1.84, 1 Li 2.05
O 0.3494 0.1747 0.1761  1 Co 1.84, 1 Li 2.05
O 0.5000 0.0000 0.5000  2 Co 1.97
O 0.5000 0.5000 0.5000  2 Co 1.97
O 0.6506 0.8253 0.8239  1 Co 1.84, 1 Li 2.05
O 0.8253 0.1747 0.1761  1 Co 1.84, 1 Li 2.05
O 0.8253 0.6506 0.1761  1 Co 1.84, 1 Li 2.05

Summary:
E_tot = -6.878 eV per atom
Size of the total moment = 2.06 Bohr magnetons per cell
Crystal system = trigonal